(1)
Na2Zn3SiAs4, relaxed, DFT PBE-GGA; total magnetic moment = 0.000 μB per cell; total energy = -0.245 Ry/atom; SG = Cm (8)
1.0
-7.643 2.752 -2.647
-6.882 -0.518 -5.038
-5.512 -3.385 2.875
Na Zn Si As
2 3 1 4
Cartesian
-9.967 -0.651 -2.286 Na
-14.469 2.222 -7.651 Na
-5.515 -1.179 -0.144 Zn
-4.814 0.635 -2.403 Zn
-14.601 0.136 -4.838 Zn
-15.321 -1.752 -2.485 Si
-7.061 -0.171 -2.016 As
-16.800 -0.862 -4.174 As
-13.057 -0.977 -2.824 As
-3.016 -0.359 -0.469 As

(2)
NaSm2As, relaxed, DFT PBE-GGA; total magnetic moment = 0.000 μB per cell; DFT formation energy = -0.493 eV per atom; SG = R-3m (166)
1.0
-3.538 0.230 1.769
-2.745 -2.773 -0.691
1.673 -6.641 8.648
Na As Sm
1 1 2
Cartesian
0.000 0.000 0.000 Na
-2.305 -4.592 4.863 As
0.385 -4.660 5.815 Sm
-4.995 -4.523 3.912 Sm

(3)
NaSmAs, relaxed, DFT PBE-GGA; total magnetic moment = 1.625 μB per cell; DFT formation energy = -0.583 eV per atom; SG = P-3m1 (164)
1.0
-0.387 0.813 -4.349
3.332 -1.011 -2.753
-7.948 -8.110 -3.078
Sm Na As
2 2 2
Cartesian
1.518 -2.045 -2.785 Sm
-6.520 -6.263 -7.395 Sm
-4.107 -4.696 -5.049 Na
-0.895 -3.612 -5.132 Na
-1.346 -2.301 -2.578 As
-3.657 -6.007 -7.602 As